DFT (PBE) results for a relaxed Ba2LiNi crystal.

For the formation energy, the calculation gives 0.106 eV per atom.

It has space group Pm (No. 6), with a = 4.695 Å, b = 4.642 Å, c = 6.725 Å, α = 90.00°, β = 110.32° and γ = 90.00°. The asymmetric unit holds Ba at (0.000, 0.000, 0.000), Ba at (0.277, 0.500, 0.555), Li at (0.683, 0.000, 0.367) and Ni at (0.584, 0.500, 0.169).

***

DFT (PBE) results for a relaxed BaHfCdAs3 crystal.

For the formation energy, the calculation gives -0.704 eV per atom.

It has space group P2_1/m (No. 11), with a = 8.408 Å, b = 4.159 Å, c = 9.720 Å, α = 90.00°, β = 109.63° and γ = 90.00°. The asymmetric unit holds Ba at (0.226, 0.250, 0.254), Hf at (0.323, 0.750, 0.859), Cd at (0.092, 0.250, 0.605), As at (0.115, 0.250, 0.883), As at (0.276, 0.750, 0.560) and As at (0.466, 0.750, 0.152).

***

DFT (PBE) results for a relaxed Er5In2 crystal.

For the formation energy, the calculation gives -0.270 eV per atom. The value obtained for the excess energy over the best structure of this formula in the dataset is 0.0000 eV per atom.

It has space group C2/c (No. 15), with a = 16.145 Å, b = 5.334 Å, c = 9.223 Å, α = 90.00°, β = 100.86° and γ = 90.00°. The asymmetric unit holds Er at (0.000, 0.249, 0.250), Er at (0.137, 0.249, 0.962), Er at (0.229, 0.251, 0.326) and In at (0.075, 0.251, 0.608).

***

DFT (PBE) results for a relaxed RbNa6Cd8 crystal.

For the formation energy, the calculation gives -0.024 eV per atom.

It has space group R-3 (No. 148, hexagonal axes), with a = 8.9129 Å, b = 8.9129 Å, c = 18.7847 Å, α = 90.00°, β = 90.00° and γ = 120.00°. The asymmetric unit holds Rb at (0.0000, 0.0000, 0.0000), Na at (0.0041, 0.2251, 0.6260), Cd at (0.0000, 0.0000, 0.2258) and Cd at (0.0060, 0.6604, 0.5310).